(w)
SeS2: optimized geometry, GGA-PBE.

abc: 15.2206 11.0744 7.6126
angles: 23.93 38.57 23.48
Atoms (fractional coordinates):
Se 0.0590 0.0924 0.8919
S 0.7994 0.7986 0.7010
Se 0.9411 0.9076 0.1081
S 0.2006 0.2014 0.2990
S 0.3097 0.3089 0.1610
S 0.6903 0.6911 0.8390

(x)
SeS2: optimized geometry, GGA-PBE.

abc: 5.2662 6.7132 6.9110
angles: 109.84 102.23 110.60
Atoms (fractional coordinates):
Se 0.3887 0.4684 0.2458
Se 0.8852 0.2316 0.7029
S 0.9842 0.5693 0.6892
S 0.0007 0.0325 0.3989
S 0.6110 0.6140 0.6052
S 0.9398 0.1569 0.1848

What should be chosen as the least stable of them? Choose (w).

(w)
SeS4: optimized geometry, GGA-PBE.

abc: 6.9115 9.2150 7.8003
angles: 41.97 90.00 90.00
Atoms (fractional coordinates):
S 0.3785 0.9020 0.3385
Se 0.0015 0.9908 0.9531
S 0.7564 0.6054 0.6937
Se 0.4985 0.4908 0.9531
S 0.3345 0.5839 0.6266
S 0.6977 0.9179 0.3880
S 0.7436 0.1054 0.6937
S 0.8023 0.4179 0.3880
S 0.1215 0.4020 0.3385
S 0.1655 0.0839 0.6266

Calculated values
The calculation puts the density of states at the Fermi level at 0.00 states/eV/cell.

(x)
SeS4: optimized geometry, GGA-PBE.

abc: 4.7788 4.7788 4.7788
angles: 90.00 90.00 90.00
Atoms (fractional coordinates):
Se 0.5000 0.5000 0.5000
S 0.0000 0.0000 0.0000
S 0.5000 0.5000 0.0000
S 0.0000 0.5000 0.5000
S 0.5000 0.0000 0.5000

Calculated values
The calculation puts the density of states at the Fermi level at 6.16 states/eV/cell.

What should be chosen as the least stable of them? Choose (x).

(w)
Si2SeS2: optimized geometry, GGA-PBE.

abc: 4.3515 4.3515 5.8068
angles: 67.99 67.99 90.00
Atoms (fractional coordinates):
Si 0.2500 0.7500 0.5000
Si 0.7500 0.2500 0.5000
Se 0.0000 0.0000 0.0000
S 0.3431 0.3431 0.3138
S 0.6569 0.6569 0.6862

Calculated values
The calculation puts the density of states at the Fermi level at 1.12 states/eV/cell.

(x)
Si2SeS2: optimized geometry, GGA-PBE.

abc: 8.4189 8.4189 3.1740
angles: 90.00 90.00 90.00
Atoms (fractional coordinates):
Se 0.5000 0.5000 0.0000
S 0.3489 0.8489 0.0000
Si 0.7812 0.2812 0.5000
Se 0.0000 0.0000 0.0000
Si 0.7188 0.7812 0.5000
Si 0.2812 0.2188 0.5000
Si 0.2188 0.7188 0.5000
S 0.6511 0.1511 0.0000
S 0.1511 0.3489 0.0000
S 0.8489 0.6511 0.0000

Calculated values
The calculation puts the density of states at the Fermi level at 5.38 states/eV/cell.

What should be chosen as the least stable of them? Choose (x).

(w)
SiSeS2: optimized geometry, GGA-PBE.

abc: 6.5862 6.5862 6.0181
angles: 56.82 56.82 90.00
Atoms (fractional coordinates):
S 0.8750 0.8017 0.7500
Se 0.0000 0.0000 0.0000
Si 0.2500 0.7500 0.5000
Si 0.5000 0.5000 0.0000
S 0.5517 0.1250 0.2500
Se 0.7500 0.2500 0.5000
S 0.1983 0.6250 0.2500
S 0.3750 0.4483 0.7500

Calculated values
The calculation puts the density of states at the Fermi level at 7.40 states/eV/cell.

(x)
SiSeS2: optimized geometry, GGA-PBE.

abc: 7.7879 7.7879 7.7879
angles: 25.76 25.76 25.76
Atoms (fractional coordinates):
S 0.1087 0.1087 0.1087
S 0.8913 0.8913 0.8913
Se 0.0000 0.0000 0.0000
Si 0.5000 0.5000 0.5000

Calculated values
The calculation puts the density of states at the Fermi level at 2.32 states/eV/cell.

What should be chosen as the least stable of them? Choose (w).

(w)
SiSeS2: optimized geometry, GGA-PBE.

abc: 4.5727 4.5727 4.5727
angles: 60.00 60.00 60.00
Atoms (fractional coordinates):
Se 0.5000 0.5000 0.5000
Si 0.0000 0.0000 0.0000
S 0.2500 0.2500 0.2500
S 0.7500 0.7500 0.7500

Calculated values
The calculation puts the density of states at the Fermi level at 2.39 states/eV/cell.

(x)
SiSeS2: optimized geometry, GGA-PBE.

abc: 8.2865 8.2865 8.2865
angles: 23.87 23.87 23.87
Atoms (fractional coordinates):
Si 0.0000 0.0000 0.0000
S 0.0896 0.0896 0.0896
S 0.9104 0.9104 0.9104
Se 0.5000 0.5000 0.5000

Calculated values
The calculation puts the density of states at the Fermi level at 2.54 states/eV/cell.

What should be chosen as the least stable of them? Choose (w).

(w)
SiSe2S: optimized geometry, GGA-PBE.

abc: 7.9391 7.9391 7.9391
angles: 26.82 26.82 26.82
Atoms (fractional coordinates):
Si 0.5000 0.5000 0.5000
S 0.0000 0.0000 0.0000
Se 0.1041 0.1041 0.1041
Se 0.8959 0.8959 0.8959

Calculated values
The calculation puts the density of states at the Fermi level at 2.55 states/eV/cell.

(x)
SiSe2S: optimized geometry, GGA-PBE.

abc: 6.6898 6.6898 6.2719
angles: 57.77 57.77 90.00
Atoms (fractional coordinates):
S 0.7500 0.2500 0.5000
Se 0.1618 0.6250 0.2500
Si 0.5000 0.5000 0.0000
Se 0.8750 0.8382 0.7500
S 0.0000 0.0000 0.0000
Se 0.5882 0.1250 0.2500
Se 0.3750 0.4118 0.7500
Si 0.2500 0.7500 0.5000

Calculated values
The calculation puts the density of states at the Fermi level at 5.89 states/eV/cell.

(y)
SiSe2S: optimized geometry, GGA-PBE.

abc: 4.6681 4.6681 4.6681
angles: 60.00 60.00 60.00
Atoms (fractional coordinates):
S 0.5000 0.5000 0.5000
Se 0.2500 0.2500 0.2500
Se 0.7500 0.7500 0.7500
Si 0.0000 0.0000 0.0000

Calculated values
The calculation puts the density of states at the Fermi level at 2.79 states/eV/cell.

What should be chosen as the least stable of them? Choose (y).